Entry 1:
# NdYTe3 | Alexandria | PBE-GGA | relaxed
# **Uncorrected formation energy**: -139 kJ/mol of atoms
# **Space-group type**: Pnma, No. 62
# **E above lowest polymorph**: 0.0 meV/atom
data_NdYTe3
_cell_length_a 4.397
_cell_length_b 11.824
_cell_length_c 12.196
_cell_angle_alpha 90.00
_cell_angle_beta 90.00
_cell_angle_gamma 90.00
_space_group_name_H-M_alt 'P 1'
_space_group_IT_number 1
_space_group_name_Hall 'P 1'
loop_
_atom_site_label
_atom_site_type_symbol
_atom_site_fract_x
_atom_site_fract_y
_atom_site_fract_z
Nd1 Nd 0.750 0.506 0.699
Nd2 Nd 0.750 0.994 0.199
Nd3 Nd 0.250 0.494 0.301
Nd4 Nd 0.250 0.006 0.801
Y1 Y 0.250 0.190 0.484
Y2 Y 0.250 0.310 0.984
Y3 Y 0.750 0.810 0.516
Y4 Y 0.750 0.690 0.016
Te1 Te 0.250 0.301 0.727
Te2 Te 0.250 0.199 0.227
Te3 Te 0.750 0.699 0.273
Te4 Te 0.750 0.801 0.773
Te5 Te 0.250 0.626 0.540
Te6 Te 0.250 0.874 0.040
Te7 Te 0.750 0.374 0.460
Te8 Te 0.750 0.126 0.960
Te9 Te 0.750 0.056 0.613
Te10 Te 0.750 0.444 0.113
Te11 Te 0.250 0.944 0.387
Te12 Te 0.250 0.556 0.887


Entry 2:
# Ac2AgAuO5 | Alexandria | PBE-GGA | relaxed
# **Uncorrected formation energy**: -176 kJ/mol of atoms
# **Space-group type**: P4/mbm, No. 127
data_Ac2AgAuO5
_cell_length_a 5.909
_cell_length_b 7.270
_cell_length_c 7.270
_cell_angle_alpha 90.00
_cell_angle_beta 90.00
_cell_angle_gamma 90.00
_space_group_name_H-M_alt 'P 1'
_space_group_IT_number 1
_space_group_name_Hall 'P 1'
loop_
_atom_site_label
_atom_site_type_symbol
_atom_site_fract_x
_atom_site_fract_y
_atom_site_fract_z
Ac1 Ac 0.500 0.681 0.181
Ac2 Ac 0.500 0.181 0.319
Ac3 Ac 0.500 0.819 0.681
Ac4 Ac 0.500 0.319 0.819
Ag1 Ag 0.000 0.500 0.500
Ag2 Ag 0.000 0.000 0.000
Au1 Au 0.000 0.000 0.500
Au2 Au 0.000 0.500 0.000
O1 O 0.500 0.500 0.500
O2 O 0.500 0.000 0.000
O3 O 0.250 0.132 0.632
O4 O 0.250 0.868 0.368
O5 O 0.250 0.368 0.132
O6 O 0.250 0.632 0.868
O7 O 0.750 0.132 0.632
O8 O 0.750 0.632 0.868
O9 O 0.750 0.868 0.368
O10 O 0.750 0.368 0.132


Entry 3:
# Th2TcP4Ir3 | Alexandria | PBE-GGA | relaxed
# **ΔE_f**: -10.69 eV per formula unit
# **Space-group type**: P-4m2, No. 115
data_Th2TcP4Ir3
_cell_length_a 4.238
_cell_length_b 4.238
_cell_length_c 9.469
_cell_angle_alpha 90.00
_cell_angle_beta 90.00
_cell_angle_gamma 90.00
_space_group_name_H-M_alt 'P 1'
_space_group_IT_number 1
_space_group_name_Hall 'P 1'
loop_
_atom_site_label
_atom_site_type_symbol
_atom_site_fract_x
_atom_site_fract_y
_atom_site_fract_z
Th1 Th 0.500 0.000 0.244
Th2 Th 0.000 0.500 0.756
Tc1 Tc 0.500 0.500 0.500
P1 P 0.500 0.500 0.000
P2 P 0.000 0.000 0.000
P3 P 0.500 0.000 0.631
P4 P 0.000 0.500 0.369
Ir1 Ir 0.000 0.000 0.500
Ir2 Ir 0.500 0.000 0.888
Ir3 Ir 0.000 0.500 0.112


Number 1: magnetization 0.00 μB/f.u.. Number 2: magnetization 0.00 μB/f.u.. Number 3: magnetization 0.00 μB/f.u..